[1]
Density functional theory data (PBE-GGA) for crystalline KLiF3 at its relaxed geometry.

The structure in POSCAR format:
```
KLiF3
1.0
-7.8711 14.7138 -9.3563
-0.7787 5.6559 -5.8396
0.5674 -7.5747 2.9999
K F Li
2 6 2
Direct
0.8410 0.0156 0.9844
0.1590 0.9844 0.0156
0.5698 0.5454 0.4546
0.1296 0.1772 0.8228
0.8704 0.8228 0.1772
0.1274 0.8414 0.1586
0.8726 0.1586 0.8414
0.4302 0.4546 0.5454
0.3067 0.0625 0.9375
0.6933 0.9375 0.0625
```

Total moment ... 0.00 μB per cell
Final energy ... -3.95 eV/atom

***

[2]
Density functional theory data (PBE-GGA) for crystalline Fe2HgHRh at its relaxed geometry.

The structure in POSCAR format:
```
Fe2HgHRh
1.0
-1.1343 -1.4475 -3.4894
-3.4062 -1.1837 1.5983
-1.6241 3.4526 -0.9043
Hg Fe H Rh
1 2 1 1
Direct
0.5000 0.5000 0.5000
0.5000 0.0000 0.0000
0.0000 0.5000 0.0000
0.0000 0.0000 0.0000
0.0000 0.0000 0.5000
```

Total moment ... 5.86 μB per cell
Final energy ... -5.46 eV/atom

***

[3]
Density functional theory data (PBE-GGA) for crystalline V2CoPd6 at its relaxed geometry.

The structure in POSCAR format:
```
V2CoPd6
1.0
-1.9612 -3.3113 -0.6525
1.2382 -3.8987 4.3873
-5.5083 0.4121 2.7889
Co Pd V
1 6 2
Direct
0.0000 0.5000 0.5000
0.6610 0.1781 0.5000
0.3223 0.1925 0.1629
0.9852 0.1925 0.8371
0.3390 0.8219 0.5000
0.0148 0.8075 0.1629
0.6777 0.8075 0.8371
0.6534 0.5000 0.1931
0.3466 0.5000 0.8069
```

Formation energy from the elements ... -19.4 kJ per mole of atoms
Total moment ... 1.06 μB per cell
Final energy ... -6.48 eV/atom

***

[4]
Density functional theory data (PBE-GGA) for crystalline Ca2In2CuPd5 at its relaxed geometry.

The structure in POSCAR format:
```
Ca2In2CuPd5
1.0
-1.2475 -2.2405 -2.4034
3.4157 -8.1449 5.8199
-9.2798 -0.2699 5.0685
Cu In Ca Pd
2 4 4 10
Direct
0.0000 0.5000 0.5000
0.0000 0.0000 0.0000
0.0000 0.6345 0.8655
0.0000 0.3655 0.1345
0.0000 0.8655 0.3655
0.0000 0.1345 0.6345
0.0000 0.3320 0.8320
0.0000 0.6680 0.1680
0.0000 0.8320 0.6680
0.0000 0.1680 0.3320
0.5000 0.1832 0.0578
0.5000 0.3168 0.5578
0.5000 0.6832 0.4422
0.5000 0.5578 0.6832
0.5000 0.0578 0.8168
0.5000 0.9422 0.1832
0.5000 0.5000 0.0000
0.5000 0.4422 0.3168
0.5000 0.8168 0.9422
0.5000 0.0000 0.5000
```

Formation energy from the elements ... -42.8 kJ per mole of atoms
Total moment ... 0.00 μB per cell
Final energy ... -4.40 eV/atom

***

[5]
Density functional theory data (PBE-GGA) for crystalline Hg3Ge5Se12 at its relaxed geometry.

The structure in POSCAR format:
```
Hg3Ge5Se12
1.0
13.9678 0.0000 0.0000
-4.6559 13.1689 0.0000
-4.6559 -6.5845 11.4046
Se Hg Ge
48 12 20
Direct
0.7855 0.4661 0.3712
0.2855 0.4142 0.8194
0.1288 0.7145 0.5339
0.7145 0.1288 0.0339
0.0339 0.4051 0.8194
0.5858 0.8712 0.4051
0.9661 0.5949 0.1806
0.8194 0.9142 0.2855
0.4142 0.2855 0.3194
0.0858 0.1806 0.2145
0.3194 0.5339 0.4051
0.1288 0.4142 0.0949
0.4142 0.1288 0.5949
0.2855 0.8712 0.9661
0.0339 0.6288 0.7145
0.4661 0.7855 0.8712
0.1806 0.0949 0.9661
0.9661 0.3712 0.2855
0.6806 0.4661 0.5949
0.9142 0.0949 0.6288
0.1806 0.0858 0.7145
0.6288 0.5949 0.9142
0.3712 0.4051 0.0858
0.5858 0.7145 0.6806
0.5949 0.6288 0.4142
0.8712 0.2855 0.4661
0.0858 0.9051 0.3712
0.6288 0.0339 0.2145
0.7855 0.3194 0.9142
0.5339 0.2145 0.1288
0.9051 0.8194 0.5339
0.9051 0.0858 0.8712
0.4661 0.6806 0.0949
0.8194 0.9051 0.0339
0.7145 0.5858 0.1806
0.2145 0.5339 0.6288
0.4051 0.3712 0.5858
0.2145 0.6806 0.0858
0.5949 0.9661 0.6806
0.0949 0.9142 0.1288
0.0949 0.1806 0.4661
0.4051 0.0339 0.3194
0.9142 0.8194 0.7855
0.3194 0.7855 0.4142
0.3712 0.9661 0.7855
0.8712 0.5858 0.9051
0.5339 0.3194 0.9051
0.6806 0.2145 0.5858
0.7500 0.8750 0.6250
0.2500 0.6250 0.8750
0.8750 0.1250 0.2500
0.1250 0.8750 0.7500
0.1250 0.2500 0.8750
0.3750 0.7500 0.6250
0.3750 0.6250 0.2500
0.6250 0.2500 0.3750
0.8750 0.7500 0.1250
0.7500 0.3750 0.1250
0.2500 0.1250 0.3750
0.6250 0.3750 0.7500
0.8750 0.2500 0.6250
0.5000 0.5000 0.5000
0.0000 0.0000 0.5000
0.5000 0.5000 0.0000
0.0000 0.5000 0.5000
0.5000 0.0000 0.5000
0.7500 0.1250 0.8750
0.1250 0.7500 0.3750
0.7500 0.6250 0.3750
0.5000 0.0000 0.0000
0.2500 0.8750 0.1250
0.6250 0.7500 0.8750
0.0000 0.5000 0.0000
0.6250 0.8750 0.2500
0.1250 0.3750 0.2500
0.3750 0.1250 0.7500
0.0000 0.0000 0.0000
0.3750 0.2500 0.1250
0.8750 0.6250 0.7500
0.2500 0.3750 0.6250
```

Total moment ... 0.00 μB per cell
Final energy ... -3.32 eV/atom

***

[6]
Density functional theory data (PBE-GGA) for crystalline PmAl4Si2 at its relaxed geometry.

The structure in POSCAR format:
```
PmAl4Si2
1.0
-0.6155 3.6476 -1.6499
-1.0880 -1.7509 -3.4650
-6.8374 0.7150 4.1313
Al Si Pm
4 2 1
Direct
0.0000 0.3149 0.6297
0.5000 0.8153 0.6307
0.5000 0.1847 0.3693
0.0000 0.6851 0.3703
0.5000 0.5764 0.1528
0.5000 0.4236 0.8472
0.0000 0.0000 0.0000
```

Total moment ... 0.00 μB per cell
Final energy ... -4.60 eV/atom

***

[7]
Density functional theory data (PBE-GGA) for crystalline LaPr2Ho2Tm at its relaxed geometry.

The structure in POSCAR format:
```
LaPr2Ho2Tm
1.0
-1.3603 1.8394 5.1749
-5.4905 -4.2330 0.0614
5.7841 -7.4420 4.1657
Pr Ho La Tm
4 4 2 2
Direct
0.5000 0.5580 0.9746
0.0000 0.8143 0.7983
0.5000 0.0580 0.0254
0.0000 0.3143 0.2017
0.5000 0.7067 0.6258
0.5000 0.2067 0.3742
0.0000 0.3092 0.8697
0.0000 0.8092 0.1303
0.5000 0.6990 0.3083
0.5000 0.1990 0.6917
0.0000 0.9585 0.4752
0.0000 0.4585 0.5248
```

Formation energy from the elements ... 7.2 kJ per mole of atoms
Total moment ... 0.00 μB per cell
Final energy ... -4.61 eV/atom

***

[8]
Density functional theory data (PBE-GGA) for crystalline Cs2Rb3TlI6 at its relaxed geometry.

The structure in POSCAR format:
```
Cs2Rb3TlI6
1.0
-0.5215 4.8199 -2.2020
-10.0726 0.5345 3.5553
6.4301 2.2275 9.7905
I Tl Rb Cs
6 1 3 2
Direct
0.3364 0.4088 0.6729
0.6636 0.5912 0.3271
0.6623 0.0711 0.3245
0.9962 0.2371 0.9924
0.0038 0.7629 0.0076
0.3377 0.9289 0.6755
0.5000 0.0000 0.0000
0.5000 0.5000 0.0000
0.8326 0.1645 0.6651
0.1674 0.8355 0.3349
0.8351 0.6701 0.6703
0.1649 0.3299 0.3297
```

Total moment ... 0.00 μB per cell
Final energy ... -2.73 eV/atom